Entry 1:
CdFeP2 | the Alexandria database | PBE-GGA | optimized geometry; total energy = -5.002 eV per atom; total moment = 0.27 μB/atom
1.0
3.474 -1.620 0.000
3.474 1.620 0.000
-0.962 0.000 5.777
Cd Fe P
1 1 2
direct
0.000 0.000 0.000
0.500 0.500 0.500
0.218 0.218 0.659
0.782 0.782 0.341

---

Entry 2:
CdFeP | the Alexandria database | PBE-GGA | optimized geometry; total energy = -4.921 eV per atom; total moment = 0.06 μB/atom
1.0
3.755 0.000 0.000
-1.878 3.252 0.000
0.000 0.000 3.848
Cd Fe P
1 1 1
direct
0.000 0.000 0.000
0.667 0.333 0.500
0.333 0.667 0.500